DFT (GGA-PBE) results for TiRh2O after structural relaxation.

Unit cell a=4.8667 b=4.8667 c=6.5341 alpha=68.14 beta=68.14 gamma=90.00
Positions (direct):
Rh (0.5419, 0.1250, 0.2500)
Rh (0.2081, 0.6250, 0.2500)
Rh (0.3750, 0.4581, 0.7500)
Rh (0.8750, 0.7919, 0.7500)
O (0.5000, 0.5000, 0.0000)
O (0.2500, 0.7500, 0.5000)
Ti (0.0000, 0.0000, 0.0000)
Ti (0.7500, 0.2500, 0.5000)

As for the symmetry: I-42d. For the total moment, the calculation gives 0.00 μB/cell. As for the total energy: -7.116 eV/atom. The value obtained for the uncorrected formation energy is -0.227 eV/atom.